Model w:
Crystalline MgZnBr3 at its relaxed geometry, computed with GGA-PBE.

Cell and atoms, written as CIF:
```
data_MgZnBr3
_cell_length_a 5.1774
_cell_length_b 5.1774
_cell_length_c 5.1774
_cell_angle_alpha 90.00
_cell_angle_beta 90.00
_cell_angle_gamma 90.00
_space_group_name_H-M_alt 'P 1'
_space_group_IT_number 1
loop_
_space_group_symop_operation_xyz
'x,y,z'
loop_
_atom_site_label
_atom_site_type_symbol
_atom_site_fract_x
_atom_site_fract_y
_atom_site_fract_z
Br1 Br 0.0000 0.5000 0.0000
Br2 Br 0.0000 0.0000 0.5000
Zn1 Zn 0.0000 0.0000 0.0000
Br3 Br 0.5000 0.0000 0.0000
Mg1 Mg 0.5000 0.5000 0.5000
```

density	3.94	Mg/m³



Model x:
Crystalline MgZnBr3 at its relaxed geometry, computed with GGA-PBE.

Cell and atoms, written as CIF:
```
data_MgZnBr3
_cell_length_a 5.2560
_cell_length_b 5.2560
_cell_length_c 5.2560
_cell_angle_alpha 90.00
_cell_angle_beta 90.00
_cell_angle_gamma 90.00
_space_group_name_H-M_alt 'P 1'
_space_group_IT_number 1
loop_
_space_group_symop_operation_xyz
'x,y,z'
loop_
_atom_site_label
_atom_site_type_symbol
_atom_site_fract_x
_atom_site_fract_y
_atom_site_fract_z
Zn1 Zn 0.5000 0.5000 0.5000
Br1 Br 0.5000 0.0000 0.0000
Br2 Br 0.0000 0.0000 0.5000
Mg1 Mg 0.0000 0.0000 0.0000
Br3 Br 0.0000 0.5000 0.0000
```

density	3.77	Mg/m³



Which of them is the most stable? Correct choice: model x.



Model w:
Crystalline MgZrBr3 at its relaxed geometry, computed with GGA-PBE.

Cell and atoms, written as CIF:
```
data_MgZrBr3
_cell_length_a 5.3935
_cell_length_b 5.3935
_cell_length_c 5.3935
_cell_angle_alpha 90.00
_cell_angle_beta 90.00
_cell_angle_gamma 90.00
_space_group_name_H-M_alt 'P 1'
_space_group_IT_number 1
loop_
_space_group_symop_operation_xyz
'x,y,z'
loop_
_atom_site_label
_atom_site_type_symbol
_atom_site_fract_x
_atom_site_fract_y
_atom_site_fract_z
Br1 Br 0.0000 0.5000 0.0000
Br2 Br 0.0000 0.0000 0.5000
Zr1 Zr 0.0000 0.0000 0.0000
Mg1 Mg 0.5000 0.5000 0.5000
Br3 Br 0.5000 0.0000 0.0000
```

density	3.76	Mg/m³



Model x:
Crystalline MgZrBr3 at its relaxed geometry, computed with GGA-PBE.

Cell and atoms, written as CIF:
```
data_MgZrBr3
_cell_length_a 5.1943
_cell_length_b 5.1943
_cell_length_c 5.1943
_cell_angle_alpha 90.00
_cell_angle_beta 90.00
_cell_angle_gamma 90.00
_space_group_name_H-M_alt 'P 1'
_space_group_IT_number 1
loop_
_space_group_symop_operation_xyz
'x,y,z'
loop_
_atom_site_label
_atom_site_type_symbol
_atom_site_fract_x
_atom_site_fract_y
_atom_site_fract_z
Br1 Br 0.5000 0.0000 0.0000
Zr1 Zr 0.5000 0.5000 0.5000
Br2 Br 0.0000 0.0000 0.5000
Mg1 Mg 0.0000 0.0000 0.0000
Br3 Br 0.0000 0.5000 0.0000
```

density	4.21	Mg/m³



Which of them is the most stable? Correct choice: model w.



Model w:
Crystalline Mn5Br at its relaxed geometry, computed with GGA-PBE.

Cell and atoms, written as CIF:
```
data_Mn5Br
_cell_length_a 4.8077
_cell_length_b 4.8077
_cell_length_c 4.8077
_cell_angle_alpha 60.00
_cell_angle_beta 60.00
_cell_angle_gamma 60.00
_space_group_name_H-M_alt 'P 1'
_space_group_IT_number 1
loop_
_space_group_symop_operation_xyz
'x,y,z'
loop_
_atom_site_label
_atom_site_type_symbol
_atom_site_fract_x
_atom_site_fract_y
_atom_site_fract_z
Br1 Br 0.0000 0.0000 0.0000
Mn1 Mn 0.6250 0.1251 0.6250
Mn2 Mn 0.1251 0.6250 0.6250
Mn3 Mn 0.6250 0.6250 0.1251
Mn4 Mn 0.6250 0.6250 0.6250
Mn5 Mn 0.2500 0.2500 0.2500
```

density	7.49	Mg/m³



Model x:
Crystalline Mn5Br at its relaxed geometry, computed with GGA-PBE.

Cell and atoms, written as CIF:
```
data_Mn5Br
_cell_length_a 4.6858
_cell_length_b 4.6858
_cell_length_c 4.3026
_cell_angle_alpha 90.00
_cell_angle_beta 90.00
_cell_angle_gamma 120.00
_space_group_name_H-M_alt 'P 1'
_space_group_IT_number 1
loop_
_space_group_symop_operation_xyz
'x,y,z'
loop_
_atom_site_label
_atom_site_type_symbol
_atom_site_fract_x
_atom_site_fract_y
_atom_site_fract_z
Mn1 Mn 0.0000 0.5000 0.5000
Mn2 Mn 0.3333 0.6667 0.0000
Mn3 Mn 0.5000 0.5000 0.5000
Br1 Br 0.0000 0.0000 0.0000
Mn4 Mn 0.6667 0.3333 0.0000
Mn5 Mn 0.5000 0.0000 0.5000
```

density	7.20	Mg/m³



Model y:
Crystalline Mn5Br at its relaxed geometry, computed with GGA-PBE.

Cell and atoms, written as CIF:
```
data_Mn5Br
_cell_length_a 5.6960
_cell_length_b 5.6960
_cell_length_c 5.3225
_cell_angle_alpha 79.08
_cell_angle_beta 79.08
_cell_angle_gamma 30.56
_space_group_name_H-M_alt 'P 1'
_space_group_IT_number 1
loop_
_space_group_symop_operation_xyz
'x,y,z'
loop_
_atom_site_label
_atom_site_type_symbol
_atom_site_fract_x
_atom_site_fract_y
_atom_site_fract_z
Mn1 Mn 0.3508 0.3508 0.2814
Mn2 Mn 0.3474 0.3474 0.7789
Mn3 Mn 0.0347 0.0347 0.4650
Mn4 Mn 0.7188 0.7188 0.5704
Br1 Br 0.0170 0.0170 0.9694
Mn5 Mn 0.6980 0.6980 0.1016
```

density	6.84	Mg/m³



Which of them is the most stable? Correct choice: model y.